Entry 1:
Sc5ZnRh | GGA-PBE | relaxed

POSCAR file:
```
Sc5ZnRh
1.0
5.296 -0.327 -0.125
1.370 5.127 -0.125
2.461 1.772 10.805
Sc Zn Rh
10 2 2
Direct
0.207 0.524 0.575
0.569 0.916 0.626
0.524 0.207 0.075
0.916 0.569 0.126
0.476 0.793 0.925
0.793 0.476 0.425
0.084 0.431 0.874
0.431 0.084 0.374
0.002 0.998 0.250
0.998 0.002 0.750
0.590 0.410 0.750
0.410 0.590 0.250
0.000 0.000 0.500
0.000 0.000 0.000
```

Output
formation energy from the elements = -1.78 eV/f.u.
space group = C2/c

=====

Entry 2:
SrAs3Br | GGA-PBE | relaxed

POSCAR file:
```
SrAs3Br
1.0
-4.852 1.173 -2.915
1.880 -3.212 -4.422
-2.517 -4.660 2.315
As Br Sr
3 1 1
Direct
0.500 0.000 0.000
0.000 0.500 0.000
0.000 0.000 0.500
0.500 0.500 0.500
0.000 0.000 0.000
```

Output
space group = Pm-3m
uncorrected formation energy = 0.997 eV per atom